A relaxed structure of Pu4GeRh. Source: Alexandria, functional PBE.

## Properties
Total magnetization in μB/f.u.: 0.1
Energy of formation from the pure elements in eV per atom: -0.213
Offset from the most stable computed form in meV/atom: 10

abc: 5.204 7.627 8.596
angles: 103.70 89.99 133.07
Site moments in Bohr magnetons follow the coordinates.
Sites, in units of the cell vectors:
Pu1 0.949 0.199 0.903  -4.70
Pu2 0.454 0.703 0.903  -4.70
Pu3 0.298 0.548 0.596  4.69
Pu4 0.702 0.452 0.404  4.69
Pu5 0.202 0.952 0.404  4.69
Pu6 0.546 0.297 0.097  -4.70
Pu7 0.798 0.048 0.596  4.69
Pu8 0.051 0.801 0.097  -4.70
Ge1 0.375 0.625 0.250  0.00
Ge2 0.625 0.375 0.750  0.00
Rh1 0.126 0.876 0.752  -0.03
Rh2 0.874 0.124 0.248  -0.03

=====

A relaxed structure of Tl6InHg2Au. Source: Alexandria, functional PBE.

## Properties
Total magnetization in μB/f.u.: 0.0
Energy of formation from the pure elements in eV per atom: 0.000

abc: 8.815 9.729 8.820
angles: 38.61 39.80 43.84
Sites, in units of the cell vectors:
Tl1 0.598 0.286 0.146
Tl2 0.071 0.997 0.287
Tl3 0.928 0.620 0.375
Tl4 0.341 0.675 0.689
Tl5 0.693 0.071 0.858
Tl6 0.286 0.414 0.609
In1 0.604 0.799 0.804
Hg1 0.801 0.533 0.164
Hg2 0.126 0.054 0.800
Au1 0.215 0.213 0.284

=====

A relaxed structure of Ho3W5N12. Source: Alexandria, functional PBE.

## Properties
Total magnetization in μB/f.u.: 0.0
ΔE_f (raw) in meV per atom: -795

abc: 11.061 11.061 11.061
angles: 109.47 109.47 109.47
Sites, in units of the cell vectors:
Ho1 0.750 0.375 0.125
Ho2 0.875 0.750 0.125
Ho3 0.375 0.750 0.625
Ho4 0.250 0.125 0.375
Ho5 0.875 0.125 0.250
Ho6 0.375 0.625 0.250
Ho7 0.625 0.375 0.750
Ho8 0.125 0.875 0.750
Ho9 0.750 0.875 0.625
Ho10 0.625 0.250 0.375
Ho11 0.125 0.250 0.875
Ho12 0.250 0.625 0.875
W1 0.125 0.375 0.250
W2 0.000 0.500 0.000
W3 0.000 0.000 0.000
W4 0.375 0.250 0.125
W5 0.500 0.000 0.500
W6 0.500 0.500 0.000
W7 0.125 0.750 0.375
W8 0.750 0.125 0.875
W9 0.750 0.625 0.375
W10 0.375 0.125 0.750
W11 0.625 0.875 0.250
W12 0.500 0.500 0.500
W13 0.500 0.000 0.000
W14 0.000 0.000 0.500
W15 0.250 0.375 0.625
W16 0.250 0.875 0.125
W17 0.000 0.500 0.500
W18 0.875 0.250 0.625
W19 0.625 0.750 0.875
W20 0.875 0.625 0.750
N1 0.702 0.117 0.021
N2 0.320 0.521 0.404
N3 0.979 0.383 0.298
N4 0.521 0.202 0.117
N5 0.584 0.702 0.680
N6 0.979 0.596 0.180
N7 0.320 0.798 0.416
N8 0.096 0.916 0.117
N9 0.596 0.979 0.680
N10 0.702 0.584 0.180
N11 0.798 0.479 0.383
N12 0.820 0.904 0.021
N13 0.117 0.702 0.521
N14 0.383 0.404 0.084
N15 0.084 0.904 0.383
N16 0.416 0.117 0.596
N17 0.084 0.180 0.202
N18 0.479 0.680 0.096
N19 0.820 0.916 0.298
N20 0.117 0.416 0.096
N21 0.383 0.979 0.798
N22 0.596 0.617 0.416
N23 0.904 0.820 0.521
N24 0.798 0.320 0.916
N25 0.404 0.383 0.584
N26 0.096 0.180 0.479
N27 0.202 0.680 0.084
N28 0.180 0.084 0.702
N29 0.617 0.021 0.202
N30 0.883 0.584 0.904
N31 0.521 0.320 0.904
N32 0.584 0.883 0.404
N33 0.916 0.820 0.798
N34 0.916 0.096 0.617
N35 0.883 0.298 0.479
N36 0.180 0.096 0.979
N37 0.617 0.596 0.916
N38 0.404 0.021 0.320
N39 0.298 0.416 0.820
N40 0.202 0.521 0.617
N41 0.904 0.084 0.883
N42 0.680 0.202 0.584
N43 0.479 0.798 0.883
N44 0.021 0.404 0.820
N45 0.416 0.298 0.320
N46 0.021 0.617 0.702
N47 0.680 0.479 0.596
N48 0.298 0.883 0.979

=====

A relaxed structure of BaNaP2S6. Source: Alexandria, functional PBE.

## Properties
Total magnetization in μB/f.u.: 1.0
ΔE_f (raw) in meV per atom: -673

abc: 6.618 6.618 8.778
angles: 67.85 67.85 60.00
Site moments in Bohr magnetons follow the coordinates.
Sites, in units of the cell vectors:
Ba1 0.000 0.000 0.000  0.01
Na1 0.500 0.500 0.500  0.00
P1 0.758 0.758 0.727  0.12
P2 0.242 0.242 0.273  0.12
S1 0.073 0.488 0.765  0.04
S2 0.675 0.073 0.765  0.04
S3 0.512 0.325 0.235  0.04
S4 0.927 0.512 0.235  0.04
S5 0.325 0.927 0.235  0.04
S6 0.488 0.675 0.765  0.04